# 1
# BeCl3

An optimized crystal structure of BeCl3 (PBE, Alexandria via LeMat-Bulk).

```
BeCl3
1.0
-2.157 -1.196 1.461
2.605 -6.014 -1.078
4.379 -3.149 3.888
Cl Be
3 1
Cartesian
3.492 -4.581 1.405 Cl
-0.192 -1.762 1.087 Cl
5.018 -8.596 3.184 Cl
0.000 0.000 0.000 Be
```

## Properties
E_tot, eV per atom: -2.972
Magnetization, μB per cell: 0.2
DOS(E_F), states/eV/atom: 0.898
Excess energy over the best structure of this formula in the dataset, meV per atom: 137
Formation energy (no corrections), kJ/mol of atoms: -63.24

=====

# 2
# Pr15Tm4Tl

An optimized crystal structure of Pr15Tm4Tl (PBE, Alexandria via LeMat-Bulk).

```
Pr15Tm4Tl
1.0
-2.932 -3.869 -1.673
-1.243 -1.154 4.847
-20.289 15.979 -1.396
Pr Tm Tl
15 4 1
Cartesian
-15.685 9.264 -1.815 Pr
-14.840 10.622 1.445 Pr
-2.606 0.986 2.287 Pr
-14.272 7.085 0.748 Pr
-7.536 2.846 -1.254 Pr
-18.353 10.299 0.467 Pr
-3.451 -0.371 -0.973 Pr
-6.691 4.203 2.005 Pr
-10.766 7.413 1.725 Pr
-19.770 12.482 -2.097 Pr
-2.087 -2.512 1.587 Pr
-11.610 6.055 -1.535 Pr
-18.926 13.839 1.163 Pr
-10.191 3.871 1.029 Pr
-6.111 0.657 1.310 Pr
-8.111 6.388 -0.558 Tm
-16.255 12.802 -1.119 Tm
-12.177 9.591 -0.838 Tm
-4.034 3.177 -0.278 Tm
0.000 0.000 0.000 Tl
```

## Properties
E_tot, eV per atom: -4.624
Magnetization, μB per cell: 0.0
DOS(E_F), states/eV/atom: 1.345
ΔE_f, eV per atom: -0.0266

=====

# 3
# VCuGe2

An optimized crystal structure of VCuGe2 (PBE, Alexandria via LeMat-Bulk).

```
VCuGe2
1.0
3.249 0.000 0.000
0.000 3.249 0.000
0.000 0.000 5.514
Ge V Cu
2 1 1
Cartesian
0.000 0.000 4.110 Ge
0.000 0.000 1.404 Ge
1.625 1.625 2.757 V
1.625 1.625 0.000 Cu
```

## Properties
E_tot, eV per atom: -5.534
Magnetization, μB per cell: 0.0
DOS(E_F), states/eV/atom: 0.790
ΔE_f, eV per atom: 0.0787

=====

Copy entry 1 word for word.
# BeCl3

An optimized crystal structure of BeCl3 (PBE, Alexandria via LeMat-Bulk).

```
BeCl3
1.0
-2.157 -1.196 1.461
2.605 -6.014 -1.078
4.379 -3.149 3.888
Cl Be
3 1
Cartesian
3.492 -4.581 1.405 Cl
-0.192 -1.762 1.087 Cl
5.018 -8.596 3.184 Cl
0.000 0.000 0.000 Be
```

## Properties
E_tot, eV per atom: -2.972
Magnetization, μB per cell: 0.2
DOS(E_F), states/eV/atom: 0.898
Excess energy over the best structure of this formula in the dataset, meV per atom: 137
Formation energy (no corrections), kJ/mol of atoms: -63.24